Entry 1:
{"formula": "Os2Ru2Pb", "functional": "PBE-GGA", "state": "relaxed", "de_polymorph_kj_per_mol_atoms": 12.7, "crystal_system": "tetragonal", "cell": [[3.9739, 0.0000, 0.0000], [0.0000, 3.9739, 0.0000], [1.9869, 1.9869, 5.6683]], "species": ["Os", "Os", "Ru", "Ru", "Pb"], "frac_coords": [[0.6078, 0.6078, 0.7844], [0.3922, 0.3922, 0.2156], [0.7500, 0.2500, 0.5000], [0.2500, 0.7500, 0.5000], [0.0000, 0.0000, 0.0000]]}


Entry 2:
{"formula": "GdUOs2", "functional": "PBE-GGA", "state": "relaxed", "de_polymorph_kj_per_mol_atoms": 0.5, "crystal_system": "trigonal", "cell": [[-2.9591, -0.7544, -3.2628], [1.3747, -0.2765, -4.2433], [0.1400, -5.2959, -1.9629]], "species": ["U", "Gd", "Os", "Os"], "frac_coords": [[0.5000, 0.5000, 0.5000], [0.0000, 0.0000, 0.0000], [0.7894, 0.7894, 0.6319], [0.2106, 0.2106, 0.3681]]}


Entry 3:
{"formula": "K2TiInSe4", "functional": "PBE-GGA", "state": "relaxed", "e_tot_ev_per_atom": -4.31, "crystal_system": "orthorhombic", "cell": [[6.6859, 0.0000, 0.0000], [3.3430, 6.9772, 0.0000], [3.3430, 0.0000, 11.8592]], "species": ["K", "K", "K", "K", "Se", "Se", "Se", "Se", "Se", "Se", "Se", "Se", "Ti", "Ti", "In", "In"], "frac_coords": [[0.1830, 0.0000, 0.6341], [0.9330, 0.5000, 0.1341], [0.8170, 0.0000, 0.3659], [0.5670, 0.5000, 0.8659], [0.3176, 0.8005, 0.1124], [0.4324, 0.6995, 0.3876], [0.5196, 0.3005, 0.6124], [0.8819, 0.8005, 0.8876], [0.2304, 0.1995, 0.8876], [0.8681, 0.6995, 0.6124], [0.5700, 0.1995, 0.1124], [0.1800, 0.3005, 0.3876], [0.5000, 0.0000, 0.0000], [0.2500, 0.5000, 0.5000], [0.7500, 0.5000, 0.5000], [0.0000, 0.0000, 0.0000]]}


Entry 4:
{"formula": "Cd2BrN", "functional": "PBE-GGA", "state": "relaxed", "e_tot_ev_per_atom": -2.03, "crystal_system": "cubic", "cell": [[-4.1965, -1.4886, 1.6754], [-3.5181, 3.1215, 0.7162], [-3.8192, -0.0282, -2.8366]], "species": ["Cd", "Cd", "Br", "N"], "frac_coords": [[0.2500, 0.2500, 0.2500], [0.7500, 0.7500, 0.7500], [0.5000, 0.5000, 0.5000], [0.0000, 0.0000, 0.0000]]}